Density functional theory data (PBE-GGA) for crystalline TeWSe3Br at its relaxed geometry.

Cell lengths 6.534, 7.447, 8.351 Å; angles 114.17, 103.39, 100.60 degrees
Space group P-1 (No. 2)
One atom of each set of equivalent atoms:
Te1 0.118 0.134 0.304
W1 0.281 0.000 0.000
Se1 0.039 0.241 0.961
Se2 0.379 0.673 0.823
Se3 0.482 0.154 0.832
Br1 0.255 0.604 0.447

Output
Magnetization   0.000 μB per atom
Energy relative to the lowest polymorph listed for this composition   2 meV/atom

***

Density functional theory data (PBE-GGA) for crystalline TeWSe3Br at its relaxed geometry.

Cell lengths 6.520, 7.960, 8.088 Å; angles 110.03, 113.60, 97.76 degrees
Space group P-1 (No. 2)
One atom of each set of equivalent atoms:
Te1 0.135 0.329 0.165
W1 0.225 0.001 0.001
Se1 0.096 0.904 0.225
Se2 0.325 0.813 0.712
Se3 0.458 0.751 0.999
Br1 0.341 0.250 0.604

Output
Magnetization   0.000 μB per atom
Energy relative to the lowest polymorph listed for this composition   60 meV/atom

***

Density functional theory data (PBE-GGA) for crystalline Sm4SiBr5 at its relaxed geometry.

Cell lengths 18.518, 4.133, 8.542 Å; angles 90.00, 102.78, 90.00 degrees
Space group C2/m (No. 12)
One atom of each set of equivalent atoms:
Sm1 0.000 0.000 0.224
Sm2 0.151 0.500 0.079
Si1 0.000 0.500 0.000
Br1 0.000 0.500 0.500
Br2 0.166 0.000 0.330
Br3 0.172 0.000 0.838

Output
E_tot   -4.770 eV per atom
Magnetization   0.002 μB per atom

***

Density functional theory data (PBE-GGA) for crystalline ThSiBr at its relaxed geometry.

Cell lengths 7.175, 4.143, 11.862 Å; angles 90.00, 101.82, 90.00 degrees
Space group C2/m (No. 12)
One atom of each set of equivalent atoms:
Th1 0.055 0.000 0.161
Si1 0.167 0.500 0.000
Br1 0.220 0.000 0.664

Output
E_tot   -5.986 eV per atom
Magnetization   0.000 μB per atom

***

Density functional theory data (PBE-GGA) for crystalline Sm3Br2 at its relaxed geometry.

Cell lengths 7.2204, 7.2204, 19.7394 Å; angles 90.00, 90.00, 120.00 degrees
Space group R-3c (No. 167, hexagonal axes)
One atom of each set of equivalent atoms:
Sm1 0.0000 0.3427 0.2500
Br1 0.0000 0.0000 0.1659

Output
E_tot   -4.238 eV per atom
Magnetization   0.001 μB per atom

***

Density functional theory data (PBE-GGA) for crystalline Sm6Br13 at its relaxed geometry.

Cell lengths 42.655, 7.294, 7.254 Å; angles 90.00, 97.77, 90.00 degrees
Space group C2/c (No. 15)
One atom of each set of equivalent atoms:
Sm1 0.039 0.240 0.078
Sm2 0.128 0.220 0.541
Sm3 0.200 0.200 0.322
Br1 0.000 0.049 0.750
Br2 0.031 0.370 0.450
Br3 0.081 0.044 0.804
Br4 0.102 0.422 0.195
Br5 0.161 0.112 0.928
Br6 0.182 0.454 0.597
Br7 0.242 0.047 0.635

Output
E_tot   -4.178 eV per atom
Magnetization   0.319 μB per atom

***

Density functional theory data (PBE-GGA) for crystalline SmTcBr at its relaxed geometry.

Cell lengths 7.102, 4.101, 11.992 Å; angles 90.00, 91.48, 90.00 degrees
Space group C2/m (No. 12)
One atom of each set of equivalent atoms:
Sm1 0.008 0.000 0.186
Tc1 0.166 0.500 0.984
Br1 0.182 0.500 0.343

Output
E_tot   -6.487 eV per atom
Magnetization   0.003 μB per atom

***

Density functional theory data (PBE-GGA) for crystalline SmYBr3 at its relaxed geometry.

Cell lengths 17.826, 3.888, 11.336 Å; angles 90.00, 123.08, 90.00 degrees
Space group C2/m (No. 12)
One atom of each set of equivalent atoms:
Sm1 0.138 0.000 0.286
Y1 0.074 0.500 0.957
Br1 0.038 0.000 0.742
Br2 0.163 0.500 0.509
Br3 0.218 0.000 0.119

Output
Magnetization   0.001 μB per atom
Energy relative to the lowest polymorph listed for this composition   0 meV/atom

***

The highest magnetization belongs to which entry?
Sm6Br13

***

What did the eighth record say?
Density functional theory data (PBE-GGA) for crystalline SmYBr3 at its relaxed geometry.

Cell lengths 17.826, 3.888, 11.336 Å; angles 90.00, 123.08, 90.00 degrees
Space group C2/m (No. 12)
One atom of each set of equivalent atoms:
Sm1 0.138 0.000 0.286
Y1 0.074 0.500 0.957
Br1 0.038 0.000 0.742
Br2 0.163 0.500 0.509
Br3 0.218 0.000 0.119

Output
Magnetization   0.001 μB per atom
Energy relative to the lowest polymorph listed for this composition   0 meV/atom